Record 1
Here is an optimized crystal structure of TaTcNiPd2 from Alexandria. Energies are from PBE.

Summary:
Energy of formation from the pure elements (eV per atom): 1.41
SG: P4/mmm, No. 123
V (Å³/cell): 103.5
Total magnetization (Bohr magnetons per cell): 3.29

abc: 4.7967 4.4969 4.7967
angles: 90.00 90.00 90.00
Positions (direct):
1 Ni 0.0000 0.5000 0.0000
2 Tc 0.5000 0.5000 0.5000
3 Pd 0.0000 0.0000 0.5000
4 Pd 0.5000 0.0000 0.0000
5 Ta 0.0000 0.0000 0.0000

Record 2
Here is an optimized crystal structure of ZrTlVCd2 from Alexandria. Energies are from PBE.

Summary:
Energy of formation from the pure elements (eV per atom): 0.92
SG: P4/mmm, No. 123
V (Å³/cell): 126.5
Total magnetization (Bohr magnetons per cell): 0.00

abc: 5.0094 5.0404 5.0094
angles: 90.00 90.00 90.00
Positions (direct):
1 Tl 0.0000 0.5000 0.0000
2 V 0.0000 0.0000 0.0000
3 Zr 0.5000 0.5000 0.5000
4 Cd 0.0000 0.0000 0.5000
5 Cd 0.5000 0.0000 0.0000

Record 3
Here is an optimized crystal structure of TlS2N from Alexandria. Energies are from PBE.

Summary:
E_form (uncorrected) (eV per atom): 1.621
SG: Fm-3m, No. 225
V (Å³/cell): 72.8
Total magnetization (Bohr magnetons per cell): 1.60

abc: 4.6872 4.6872 4.6872
angles: 60.00 60.00 60.00
Positions (direct):
1 Tl 0.5000 0.5000 0.5000
2 S 0.2500 0.2500 0.2500
3 S 0.7500 0.7500 0.7500
4 N 0.0000 0.0000 0.0000

Record 4
Here is an optimized crystal structure of Pm12SmMg3 from Alexandria. Energies are from PBE.

Summary:
Energy of formation from the pure elements (eV per atom): 0.01
SG: P4/mmm, No. 123
V (Å³/cell): 514.8
Total magnetization (Bohr magnetons per cell): 0.00

abc: 5.0380 5.0380 20.2810
angles: 90.00 90.00 90.00
Positions (direct):
1 Pm 0.5000 0.5000 0.0000
2 Pm 0.5000 0.5000 0.2541
3 Pm 0.5000 0.5000 0.5000
4 Pm 0.5000 0.5000 0.7459
5 Pm 0.5000 0.0000 0.1289
6 Pm 0.5000 0.0000 0.3769
7 Pm 0.5000 0.0000 0.6231
8 Pm 0.5000 0.0000 0.8711
9 Pm 0.0000 0.5000 0.1289
10 Pm 0.0000 0.5000 0.3769
11 Pm 0.0000 0.5000 0.6231
12 Pm 0.0000 0.5000 0.8711
13 Sm 0.0000 0.0000 0.0000
14 Mg 0.0000 0.0000 0.2547
15 Mg 0.0000 0.0000 0.5000
16 Mg 0.0000 0.0000 0.7453

Record 5
Here is an optimized crystal structure of ZnPPtO2 from Alexandria. Energies are from PBE.

Summary:
E_form (uncorrected) (eV per atom): 0.128
SG: P4/mmm, No. 123
V (Å³/cell): 76.5
Total magnetization (Bohr magnetons per cell): 1.24

abc: 3.8332 3.8332 5.2058
angles: 90.00 90.00 90.00
Positions (direct):
1 P 0.0000 0.0000 0.5000
2 Zn 0.5000 0.5000 0.5000
3 O 0.0000 0.5000 0.0000
4 O 0.5000 0.0000 0.0000
5 Pt 0.0000 0.0000 0.0000

Record 6
Here is an optimized crystal structure of ZrCdW from Alexandria. Energies are from PBE.

Summary:
Energy of formation from the pure elements (eV per atom): 0.26
SG: Fmm2, No. 42
V (Å³/cell): 58.5
Total magnetization (Bohr magnetons per cell): 0.00

abc: 7.6160 7.4696 2.8896
angles: 81.82 76.12 22.06
Positions (direct):
1 Cd 0.9941 0.9941 0.0059
2 W 0.3302 0.3302 0.6698
3 Zr 0.6757 0.6757 0.3243

Record 7
Here is an optimized crystal structure of LuNpRu4 from Alexandria. Energies are from PBE.

Summary:
Energy of formation from the pure elements (eV per atom): -0.16
SG: F-43m, No. 216
V (Å³/cell): 104.8
Total magnetization (Bohr magnetons per cell): 2.89

abc: 5.2925 5.2925 5.2925
angles: 60.00 60.00 60.00
Positions (direct):
1 Np 0.2500 0.2500 0.2500
2 Ru 0.6252 0.6252 0.1245
3 Ru 0.6252 0.1245 0.6252
4 Ru 0.6252 0.6252 0.6252
5 Ru 0.1245 0.6252 0.6252
6 Lu 0.0000 0.0000 0.0000

Record 8
Here is an optimized crystal structure of CdPH2 from Alexandria. Energies are from PBE.

Summary:
SG: P1, No. 1
V (Å³/cell): 68.2
Total magnetization (Bohr magnetons per cell): 0.00
VASP energy (eV/atom): -3.115

abc: 5.4795 4.4944 4.2855
angles: 117.42 91.44 126.63
Positions (direct):
1 Cd 0.2544 0.3325 0.5445
2 P 0.8088 0.4413 0.5981
3 H 0.6399 0.0917 0.6631
4 H 0.6315 0.0978 0.1833

What did the sixth record say?
Here is an optimized crystal structure of ZrCdW from Alexandria. Energies are from PBE.

Summary:
Energy of formation from the pure elements (eV per atom): 0.26
SG: Fmm2, No. 42
V (Å³/cell): 58.5
Total magnetization (Bohr magnetons per cell): 0.00

abc: 7.6160 7.4696 2.8896
angles: 81.82 76.12 22.06
Positions (direct):
1 Cd 0.9941 0.9941 0.0059
2 W 0.3302 0.3302 0.6698
3 Zr 0.6757 0.6757 0.3243

- The highest total magnetization belongs to which entry?
  TaTcNiPd2

What did the sixth record say?
Here is an optimized crystal structure of ZrCdW from Alexandria. Energies are from PBE.

Summary:
Energy of formation from the pure elements (eV per atom): 0.26
SG: Fmm2, No. 42
V (Å³/cell): 58.5
Total magnetization (Bohr magnetons per cell): 0.00

abc: 7.6160 7.4696 2.8896
angles: 81.82 76.12 22.06
Positions (direct):
1 Cd 0.9941 0.9941 0.0059
2 W 0.3302 0.3302 0.6698
3 Zr 0.6757 0.6757 0.3243